# 1
Density functional theory data (PBE-GGA) for crystalline Ba8Pt3RhBr3 at its relaxed geometry.

a = 9.165 Å, b = 9.159 Å, c = 9.759 Å
α = 117.97°, β = 90.00°, γ = 120.02°
Atoms (fractional coordinates):
1 Ba 0.264 0.528 0.292
2 Ba 0.736 0.472 0.708
3 Ba 0.767 0.534 0.288
4 Ba 0.233 0.466 0.712
5 Ba 0.767 0.020 0.288
6 Ba 0.233 0.980 0.712
7 Ba 0.253 0.020 0.288
8 Ba 0.747 0.980 0.712
9 Pt 0.500 0.000 0.500
10 Pt 0.500 0.500 0.500
11 Pt 0.000 0.500 0.500
12 Rh 0.000 0.000 0.500
13 Br 0.000 0.000 0.000
14 Br 0.000 0.500 0.000
15 Br 0.500 0.500 0.000

Summary:
M_tot = 0.0 μB per cell
V = 39.75 A^3/atom
VASP energy = -4.110 eV per atom
Fermi-level density of states = 0.6943 states/eV per atom
ΔE_f (raw) = -1.051 eV per atom
crystal system = trigonal

# 2
Density functional theory data (PBE-GGA) for crystalline SrTbMgCd at its relaxed geometry.

a = 5.556 Å, b = 5.556 Å, c = 5.556 Å
α = 60.00°, β = 60.00°, γ = 60.00°
Atoms (fractional coordinates):
1 Sr 0.000 0.000 0.000
2 Mg 0.750 0.750 0.750
3 Tb 0.500 0.500 0.500
4 Cd 0.250 0.250 0.250

Summary:
M_tot = 0.0 μB per cell
V = 30.32 A^3/atom
VASP energy = -2.340 eV per atom
Fermi-level density of states = 1.0103 states/eV per atom
energy of formation = -0.135 eV/atom
crystal system = cubic

# 3
Density functional theory data (PBE-GGA) for crystalline Sr2WSe at its relaxed geometry.

a = 5.367 Å, b = 5.367 Å, c = 5.367 Å
α = 60.00°, β = 60.00°, γ = 60.00°
Atoms (fractional coordinates):
1 Se 0.500 0.500 0.500
2 Sr 0.000 0.000 0.000
3 Sr 0.250 0.250 0.250
4 W 0.750 0.750 0.750

Summary:
M_tot = 3.7 μB per cell
V = 27.32 A^3/atom
VASP energy = -4.198 eV per atom
Fermi-level density of states = 0.6453 states/eV per atom
ΔE_f (raw) = 0.753 eV per atom
crystal system = cubic

# 4
Density functional theory data (PBE-GGA) for crystalline BaTbGe2Au2 at its relaxed geometry.

a = 4.569 Å, b = 4.569 Å, c = 8.278 Å
α = 90.00°, β = 90.00°, γ = 120.00°
Atoms (fractional coordinates):
1 Ba 0.000 0.000 0.000
2 Tb 0.000 0.000 0.500
3 Ge 0.667 0.333 0.290
4 Ge 0.333 0.667 0.710
5 Au 0.667 0.333 0.694
6 Au 0.333 0.667 0.306

Summary:
M_tot = 0.0 μB per cell
V = 24.94 A^3/atom
VASP energy = -4.471 eV per atom
Fermi-level density of states = 0.4780 states/eV per atom
energy of formation = -0.747 eV/atom
crystal system = trigonal

# 5
Density functional theory data (PBE-GGA) for crystalline Cs4AgBr3 at its relaxed geometry.

a = 5.269 Å, b = 9.151 Å, c = 9.151 Å
α = 109.39°, β = 90.00°, γ = 90.00°
Atoms (fractional coordinates):
1 Cs 0.000 0.258 0.258
2 Cs 0.500 0.747 0.253
3 Cs 0.000 0.742 0.742
4 Cs 0.500 0.253 0.747
5 Br 0.000 0.000 0.500
6 Br 0.500 0.500 0.500
7 Br 0.000 0.500 0.000
8 Ag 0.500 0.000 0.000

Summary:
M_tot = 0.0 μB per cell
V = 52.02 A^3/atom
VASP energy = -2.722 eV per atom
Fermi-level density of states = 0.0000 states/eV per atom
ΔE_f (raw) = -1.312 eV per atom
crystal system = orthorhombic

# 6
Density functional theory data (PBE-GGA) for crystalline SrTiCo2Mo at its relaxed geometry.

a = 4.510 Å, b = 5.136 Å, c = 4.510 Å
α = 90.00°, β = 90.00°, γ = 90.00°
Atoms (fractional coordinates):
1 Sr 0.000 0.500 0.000
2 Mo 0.000 0.000 0.000
3 Co 0.000 0.000 0.500
4 Co 0.500 0.000 0.000
5 Ti 0.500 0.500 0.500

Summary:
M_tot = 0.8 μB per cell
V = 20.90 A^3/atom
VASP energy = -5.415 eV per atom
Fermi-level density of states = 2.0080 states/eV per atom
energy of formation = 1.508 eV/atom
crystal system = tetragonal

# 7
Density functional theory data (PBE-GGA) for crystalline PuPaMoPt at its relaxed geometry.

a = 4.902 Å, b = 4.902 Å, c = 4.902 Å
α = 60.00°, β = 60.00°, γ = 60.00°
Atoms (fractional coordinates):
1 Mo 0.250 0.250 0.250
2 Pa 0.000 0.000 0.000
3 Pt 0.750 0.750 0.750
4 Pu 0.500 0.500 0.500

Summary:
M_tot = 4.9 μB per cell
V = 20.83 A^3/atom
VASP energy = -10.378 eV per atom
Fermi-level density of states = 2.0030 states/eV per atom
energy of formation = -0.203 eV/atom
crystal system = cubic

# 8
Density functional theory data (PBE-GGA) for crystalline K2CuBr at its relaxed geometry.

a = 8.797 Å, b = 8.797 Å, c = 8.797 Å
α = 152.04°, β = 151.46°, γ = 40.38°
Atoms (fractional coordinates):
1 Br 0.544 0.544 0.000
2 Cu 0.297 0.797 0.500
3 K 0.958 0.958 0.000
4 K 0.701 0.201 0.500

Summary:
M_tot = 0.0 μB per cell
V = 38.04 A^3/atom
VASP energy = -2.555 eV per atom
ΔE_f (raw) = -0.564 eV per atom
crystal system = orthorhombic